1.
Computed, not measured: a relaxed RbLiBi3 crystal at the PBE level of DFT.

## Properties
energy relative to the lowest polymorph listed for this composition = 1062 meV/atom
DFT formation energy = 488 kJ/mol of formula units
SG = Pm-3m (221)

Cell: 6.2360 6.2360 6.2360 Å, 90.00 90.00 90.00°
With the nearest neighbours (Å) after each atom.
Positions (direct):
1 Li 0.5000 0.5000 0.5000  12 Bi 4.41
2 Bi 0.0000 0.5000 0.0000  2 Rb 3.12
3 Bi 0.5000 0.0000 0.0000  2 Rb 3.12
4 Rb 0.0000 0.0000 0.0000  6 Bi 3.12
5 Bi 0.0000 0.0000 0.5000  2 Rb 3.12

2.
Computed, not measured: a relaxed RbLiBi3 crystal at the PBE level of DFT.

## Properties
energy relative to the lowest polymorph listed for this composition = 0 meV/atom
DFT formation energy = -24 kJ/mol of formula units
SG = Pm-3m (221)

Cell: 5.4542 5.4542 5.4542 Å, 90.00 90.00 90.00°
With the nearest neighbours (Å) after each atom.
Positions (direct):
1 Bi 0.0000 0.0000 0.5000  2 Li 2.73
2 Bi 0.5000 0.0000 0.0000  2 Li 2.73
3 Bi 0.0000 0.5000 0.0000  2 Li 2.73
4 Rb 0.5000 0.5000 0.5000  12 Bi 3.86
5 Li 0.0000 0.0000 0.0000  6 Bi 2.73

3.
Computed, not measured: a relaxed Rb2LiBi2 crystal at the PBE level of DFT.

## Properties
energy relative to the lowest polymorph listed for this composition = 333 meV/atom
DFT formation energy = 3 kJ/mol of formula units
SG = I4/mmm (139)

Cell: 4.6014 4.6014 12.1597 Å, 79.09 79.09 90.00°
With the nearest neighbours (Å) after each atom.
Positions (direct):
1 Bi 0.2500 0.7500 0.5000  4 Bi 3.25
2 Rb 0.3839 0.3839 0.2322  4 Bi 3.89, 4 Li 4.24
3 Rb 0.6161 0.6161 0.7678  4 Bi 3.89, 4 Li 4.24
4 Bi 0.7500 0.2500 0.5000  4 Bi 3.25
5 Li 0.0000 0.0000 0.0000  8 Rb 4.24, 4 Li 4.60

4.
Computed, not measured: a relaxed RbLi4Bi4 crystal at the PBE level of DFT.

## Properties
DFT formation energy = -238 kJ/mol of formula units
SG = P4_2/n (86)

Cell: 5.7029 9.8640 9.8640 Å, 90.00 90.00 90.00°
With the nearest neighbours (Å) after each atom.
Positions (direct):
1 Li 0.1171 0.1552 0.6465  5 Bi 2.85-3.09, 1 Li 3.16
2 Li 0.1171 0.8448 0.3535  5 Bi 2.85-3.09, 1 Li 3.16
3 Li 0.6171 0.1465 0.3448  5 Bi 2.85-3.09, 1 Li 3.16
4 Li 0.6171 0.8535 0.6552  5 Bi 2.85-3.09, 1 Li 3.16
5 Rb 0.0000 0.0000 0.0000  4 Bi 3.83, 4 Li 3.87
6 Bi 0.1165 0.8424 0.6517  5 Li 2.85-3.09, 1 Bi 3.07
7 Li 0.8829 0.3535 0.1552  5 Bi 2.85-3.09, 1 Li 3.16
8 Li 0.8829 0.6465 0.8448  5 Bi 2.85-3.09, 1 Li 3.16
9 Rb 0.5000 0.5000 0.5000  4 Bi 3.83, 4 Li 3.87
10 Li 0.3829 0.6552 0.1465  5 Bi 2.85-3.09, 1 Li 3.16
11 Bi 0.6165 0.8483 0.3424  5 Li 2.85-3.09, 1 Bi 3.07
12 Bi 0.3835 0.3424 0.1517  5 Li 2.85-3.09, 1 Bi 3.07
13 Bi 0.8835 0.6517 0.1576  5 Li 2.85-3.09, 1 Bi 3.07
14 Bi 0.6165 0.1517 0.6576  5 Li 2.85-3.09, 1 Bi 3.07
15 Li 0.3829 0.3448 0.8535  5 Bi 2.85-3.09, 1 Li 3.16
16 Bi 0.8835 0.3483 0.8424  5 Li 2.85-3.09, 1 Bi 3.07
17 Bi 0.1165 0.1576 0.3483  5 Li 2.85-3.09, 1 Bi 3.07
18 Bi 0.3835 0.6576 0.8483  5 Li 2.85-3.09, 1 Bi 3.07